# SmSi2Ir2

An optimized crystal structure of SmSi2Ir2 (PBEsol, Alexandria).

extended XYZ file:
```
10
Lattice="4.123 0.000 0.000 0.000 4.123 0.000 0.000 0.000 9.798" Properties=species:S:1:pos:R:3 pbc="T T T"
Sm 1.031 1.031 2.408
Sm 3.092 3.092 7.390
Si 1.031 1.031 6.177
Si 1.031 3.092 0.000
Si 3.092 1.031 0.000
Si 3.092 3.092 3.621
Ir 1.031 1.031 8.546
Ir 1.031 3.092 4.899
Ir 3.092 1.031 4.899
Ir 3.092 3.092 1.252
```

Values from the calculation:
ΔE_f (raw): -1087 meV/atom
Spin magnetization: 0.0 μB per cell

# Sm3Si2Ir2

An optimized crystal structure of Sm3Si2Ir2 (PBEsol, Alexandria).

extended XYZ file:
```
14
Lattice="2.048 -5.251 0.000 2.048 5.251 0.000 0.000 0.000 13.192" Properties=species:S:1:pos:R:3 pbc="T T T"
Sm 2.048 5.049 9.894
Sm 2.048 2.396 1.370
Sm 2.048 2.396 5.226
Sm 2.048 -2.396 7.967
Sm 2.048 -2.396 11.822
Sm 2.048 -5.049 3.298
Si 2.048 0.630 7.770
Si 2.048 0.630 12.018
Si 2.048 -0.630 1.174
Si 2.048 -0.630 5.422
Ir 0.000 0.000 0.000
Ir 0.000 0.000 6.596
Ir 2.048 1.939 9.894
Ir 2.048 -1.939 3.298
```

Values from the calculation:
ΔE_f (raw): -946 meV/atom
Spin magnetization: 0.0 μB per cell